First-principles (GGA-PBE) data for a relaxed structure of AlSnTe2, as listed in the Alexandria database.

Cell: 3.8795 3.8795 9.8299 Å, 78.62 78.62 60.00°
With the nearest neighbours (Å) after each atom.
Element x y z (fractional)
Al 0.5000 0.5000 0.5000  6 Te 2.77
Te 0.1100 0.1100 0.6700  3 Al 2.77
Te 0.8900 0.8900 0.3300  3 Al 2.77
Sn 0.0000 0.0000 0.0000  2 Te 3.16

Results
Total DFT energy (no corrections): -14.62 eV/f.u.
Symmetry: No. 166
Volume: 31.2 Å³ per atom

=====

First-principles (GGA-PBE) data for a relaxed structure of CoNi3Ir4, as listed in the Alexandria database.

Cell: 2.6305 4.1088 12.3118 Å, 58.58 96.13 90.00°
With the nearest neighbours (Å) after each atom.
Element x y z (fractional)
Ir 0.4001 0.7773 0.8002  4 Ni 2.47-2.73, 4 Ir 2.48-2.63
Co 0.5000 0.0000 0.0000  4 Ni 2.44, 2 Co 2.63
Ir 0.3335 0.4860 0.6669  5 Ni 2.48-2.64, 4 Ir 2.48-2.63
Ir 0.5999 0.2227 0.1998  4 Ni 2.47-2.73, 4 Ir 2.48-2.63
Ir 0.6665 0.5140 0.3331  5 Ni 2.48-2.64, 4 Ir 2.48-2.63
Ni 0.2147 0.8627 0.4294  7 Ir 2.48-2.73, 2 Ni 2.63
Ni 0.7853 0.1373 0.5706  7 Ir 2.48-2.73, 2 Ni 2.63
Ni 0.0000 0.5000 0.0000  4 Co 2.44, 4 Ir 2.47, 2 Ni 2.63

Results
Symmetry: No. 12
Energy relative to the elements: 0.373 eV/atom
Volume: 14.1 Å³ per atom

=====

First-principles (GGA-PBE) data for a relaxed structure of NaVCd, as listed in the Alexandria database.

Cell: 3.6413 3.6413 11.4028 Å, 90.00 90.00 90.00°
With the nearest neighbours (Å) after each atom.
Element x y z (fractional)
Cd 0.5000 0.5000 0.5000  4 Cd 2.57
V 0.0000 0.5000 0.9746  4 V 2.64
V 0.5000 0.0000 0.0254  4 V 2.64
Cd 0.0000 0.0000 0.5000  4 Cd 2.57
Na 0.5000 0.0000 0.7588  1 V 3.04
Na 0.0000 0.5000 0.2412  1 V 3.04

Results
Symmetry: No. 129
Energy relative to the elements: 0.726 eV/atom
Volume: 25.2 Å³ per atom